The following is a DFT calculation (PBE) of Tb8Ga2Tc after structural relaxation.

ρ   8.513 g/cm³
Calculated formation energy   -0.224 eV per atom

abc: 5.0905 6.8198 9.1485
angles: 104.64 106.15 90.00
Last column: nearest neighbours and their distance in Å.
Fractional coordinates of all 11 atoms:
1 Tb 0.4088 0.5586 0.8176  1 Tc 3.02, 2 Tb 3.35, 2 Ga 3.37
2 Tb 0.6563 0.9565 0.3127  1 Tc 2.84, 3 Ga 3.01-3.14
3 Tb 0.7994 0.7006 0.5987  3 Ga 2.94-3.22
4 Tb 0.9771 0.2157 0.9542  2 Tc 3.02, 1 Ga 3.06, 3 Tb 3.25-3.35
5 Tb 0.2006 0.2994 0.4013  3 Ga 2.94-3.22
6 Tb 0.3437 0.0435 0.6873  1 Tc 2.84, 3 Ga 3.01-3.14
7 Tb 0.5912 0.4414 0.1824  1 Tc 3.02, 2 Tb 3.35, 2 Ga 3.37
8 Tb 0.0229 0.7843 0.0458  2 Tc 3.02, 1 Ga 3.06, 3 Tb 3.25-3.35
9 Ga 0.8108 0.2781 0.6217  7 Tb 2.94-3.22
10 Ga 0.1892 0.7219 0.3783  7 Tb 2.94-3.22
11 Tc 0.5000 0.0000 0.0000  8 Tb 2.84-3.02

***

The following is a DFT calculation (PBE) of Ba2SrCa after structural relaxation.

ρ   3.047 g/cm³
Calculated formation energy   0.023 eV per atom

abc: 6.7688 6.7688 6.7688
angles: 60.00 60.00 60.00
Last column: nearest neighbours and their distance in Å.
Fractional coordinates of all 4 atoms:
1 Sr 0.7500 0.7500 0.7500  4 Ca 4.15, 4 Ba 4.15
2 Ca 0.5000 0.5000 0.5000  4 Ba 4.15, 4 Sr 4.15
3 Ba 0.0000 0.0000 0.0000  4 Ba 4.15, 4 Sr 4.15
4 Ba 0.2500 0.2500 0.2500  4 Ba 4.15, 4 Ca 4.15

***

The following is a DFT calculation (PBE) of CaTb7Pr3 after structural relaxation.

ρ   6.676 g/cm³
Calculated formation energy   0.210 eV per atom

abc: 8.8007 7.1700 7.1700
angles: 120.00 90.00 90.00
Last column: nearest neighbours and their distance in Å.
Fractional coordinates of all 11 atoms:
1 Ca 0.4445 0.3333 0.6667  9 Tb 3.57-3.59, 3 Pr 3.69
2 Tb 0.1161 0.1651 0.8349  8 Tb 3.55-3.62, 2 Pr 3.56, 1 Ca 3.57
3 Tb 0.1161 0.1651 0.3301  8 Tb 3.55-3.62, 2 Pr 3.56, 1 Ca 3.57
4 Tb 0.1246 0.6667 0.3333  9 Tb 3.47-3.59, 3 Pr 3.58
5 Tb 0.4434 0.8313 0.1687  7 Tb 3.47-3.63, 2 Ca 3.59, 2 Pr 3.66
6 Tb 0.4434 0.3374 0.1687  7 Tb 3.47-3.63, 2 Ca 3.59, 2 Pr 3.66
7 Tb 0.4434 0.8313 0.6626  7 Tb 3.47-3.63, 2 Ca 3.59, 2 Pr 3.66
8 Tb 0.1161 0.6699 0.8349  8 Tb 3.55-3.62, 2 Pr 3.56, 1 Ca 3.57
9 Pr 0.7891 0.5030 0.4970  4 Pr 3.52-3.65, 5 Tb 3.56-3.66, 1 Ca 3.69
10 Pr 0.7891 0.5030 0.0060  4 Pr 3.52-3.65, 5 Tb 3.56-3.66, 1 Ca 3.69
11 Pr 0.7891 0.9939 0.4970  4 Pr 3.52-3.65, 5 Tb 3.56-3.66, 1 Ca 3.69

***

The following is a DFT calculation (PBE) of PrMg12Ag6 after structural relaxation.

ρ   4.232 g/cm³
Calculated formation energy   -0.106 eV per atom

abc: 7.8572 7.8572 7.8572
angles: 105.05 105.05 105.05
Last column: nearest neighbours and their distance in Å.
Fractional coordinates of all 19 atoms:
1 Pr 0.0000 0.0000 0.0000  6 Mg 3.60
2 Mg 0.8829 0.1171 0.5000  4 Ag 2.70-2.79, 1 Mg 2.92
3 Mg 0.8440 0.5874 0.5874  3 Ag 2.78-2.87, 2 Mg 3.08
4 Mg 0.5874 0.5874 0.8440  3 Ag 2.78-2.87, 2 Mg 3.08
5 Mg 0.4126 0.1560 0.4126  3 Ag 2.78-2.87, 2 Mg 3.08
6 Mg 0.4126 0.4126 0.1560  3 Ag 2.78-2.87, 2 Mg 3.08
7 Mg 0.1560 0.4126 0.4126  3 Ag 2.78-2.87, 2 Mg 3.08
8 Mg 0.1171 0.5000 0.8829  4 Ag 2.70-2.79, 1 Mg 2.92
9 Mg 0.5000 0.8829 0.1171  4 Ag 2.70-2.79, 1 Mg 2.92
10 Mg 0.1171 0.8829 0.5000  4 Ag 2.70-2.79, 1 Mg 2.92
11 Mg 0.8829 0.5000 0.1171  4 Ag 2.70-2.79, 1 Mg 2.92
12 Mg 0.5000 0.1171 0.8829  4 Ag 2.70-2.79, 1 Mg 2.92
13 Mg 0.5874 0.8440 0.5874  3 Ag 2.78-2.87, 2 Mg 3.08
14 Ag 0.7069 0.2673 0.2673  7 Mg 2.70-2.87
15 Ag 0.2673 0.2673 0.7069  7 Mg 2.70-2.87
16 Ag 0.2673 0.7069 0.2673  7 Mg 2.70-2.87
17 Ag 0.7327 0.7327 0.2931  7 Mg 2.70-2.87
18 Ag 0.2931 0.7327 0.7327  7 Mg 2.70-2.87
19 Ag 0.7327 0.2931 0.7327  7 Mg 2.70-2.87

***

The following is a DFT calculation (PBE) of SnAs2SeI after structural relaxation.

ρ   5.169 g/cm³
Energy relative to the elements, uncorrected   0.715 eV/atom

abc: 5.4352 5.4352 5.1588
angles: 90.00 90.00 90.00
Last column: nearest neighbours and their distance in Å.
Fractional coordinates of all 5 atoms:
1 I 0.5000 0.5000 0.5000  8 As 3.75, 4 Se 3.84
2 As 0.0000 0.5000 0.0000  2 Sn 2.72
3 As 0.5000 0.0000 0.0000  2 Sn 2.72
4 Sn 0.0000 0.0000 0.0000  2 Se 2.58, 4 As 2.72
5 Se 0.0000 0.0000 0.5000  2 Sn 2.58

***

The following is a DFT calculation (PBE) of BeZnAu after structural relaxation.

ρ   10.637 g/cm³
Calculated formation energy   -0.107 eV per atom

abc: 3.2736 3.2736 7.9065
angles: 90.00 90.00 90.00
Last column: nearest neighbours and their distance in Å.
Fractional coordinates of all 6 atoms:
1 Be 0.5000 0.5000 0.5000  4 Be 2.31, 4 Au 2.39
2 Be 0.0000 0.0000 0.5000  4 Be 2.31, 4 Au 2.39
3 Zn 0.0000 0.5000 0.9088  4 Zn 2.73, 5 Au 2.76-2.94
4 Zn 0.5000 0.0000 0.0912  4 Zn 2.73, 5 Au 2.76-2.94
5 Au 0.0000 0.5000 0.2805  4 Be 2.39
6 Au 0.5000 0.0000 0.7195  4 Be 2.39

***

The following is a DFT calculation (PBE) of PuMg2IrO8 after structural relaxation.

ρ   7.139 g/cm³
Energy relative to the elements, uncorrected   -1.949 eV/atom

abc: 4.7771 4.7718 6.2614
angles: 90.00 90.00 92.89
Last column: nearest neighbours and their distance in Å.
Fractional coordinates of all 12 atoms:
1 Pu 0.0000 0.0000 0.5000  6 O 1.94-2.11
2 Mg 0.5000 0.5000 0.7604  6 O 2.06-2.12
3 Mg 0.5000 0.5000 0.2396  6 O 2.06-2.12
4 Ir 0.0000 0.0000 0.0000  6 O 1.88-2.02
5 O 0.1938 0.8045 0.2399  1 Ir 2.02, 1 Mg 2.11, 1 Pu 2.11
6 O 0.7128 0.7143 0.0000  1 Ir 1.88, 2 Mg 2.06
7 O 0.8062 0.1955 0.2399  1 Ir 2.02, 1 Mg 2.11, 1 Pu 2.11
8 O 0.8062 0.1955 0.7601  1 Ir 2.02, 1 Mg 2.11, 1 Pu 2.11
9 O 0.2872 0.2857 0.0000  1 Ir 1.88, 2 Mg 2.06
10 O 0.1938 0.8045 0.7601  1 Ir 2.02, 1 Mg 2.11, 1 Pu 2.11
11 O 0.7043 0.7059 0.5000  1 Pu 1.94, 2 Mg 2.12
12 O 0.2957 0.2941 0.5000  1 Pu 1.94, 2 Mg 2.12

***

The following is a DFT calculation (PBE) of ScPb after structural relaxation.

ρ   8.449 g/cm³
Calculated formation energy   -0.337 eV per atom

abc: 5.3461 6.0788 6.0995
angles: 90.00 90.00 90.00
Last column: nearest neighbours and their distance in Å.
Fractional coordinates of all 8 atoms:
1 Pb 0.7500 0.8601 0.1235  6 Sc 3.01-3.37, 2 Pb 3.33
2 Pb 0.2500 0.3601 0.3765  6 Sc 3.01-3.37, 2 Pb 3.33
3 Pb 0.7500 0.6399 0.6235  6 Sc 3.01-3.37, 2 Pb 3.33
4 Pb 0.2500 0.1399 0.8765  6 Sc 3.01-3.37, 2 Pb 3.33
5 Sc 0.7500 0.3653 0.1252  6 Pb 3.01-3.37, 2 Sc 3.36
6 Sc 0.2500 0.8653 0.3748  6 Pb 3.01-3.37, 2 Sc 3.36
7 Sc 0.7500 0.1347 0.6252  6 Pb 3.01-3.37, 2 Sc 3.36
8 Sc 0.2500 0.6347 0.8748  6 Pb 3.01-3.37, 2 Sc 3.36

***

The following is a DFT calculation (PBE) of CaZnGe2Pd5 after structural relaxation.

ρ   7.995 g/cm³
Calculated formation energy   -0.396 eV per atom

abc: 4.7154 4.7154 7.3129
angles: 90.00 90.00 90.00
Last column: nearest neighbours and their distance in Å.
Fractional coordinates of all 9 atoms:
1 Ca 0.0000 0.0000 0.5000  12 Pd 3.05-3.33
2 Zn 0.0000 0.0000 0.0000  8 Pd 2.92
3 Ge 0.5000 0.5000 0.1608  1 Ge 2.35, 5 Pd 2.42-2.48
4 Ge 0.5000 0.5000 0.8392  1 Ge 2.35, 5 Pd 2.42-2.48
5 Pd 0.0000 0.5000 0.2354  2 Ge 2.42
6 Pd 0.5000 0.0000 0.2354  2 Ge 2.42
7 Pd 0.0000 0.5000 0.7646  2 Ge 2.42
8 Pd 0.5000 0.0000 0.7646  2 Ge 2.42
9 Pd 0.5000 0.5000 0.5000  2 Ge 2.48

***

The following is a DFT calculation (PBE) of Na3Tl4Au after structural relaxation.

ρ   7.908 g/cm³
Calculated formation energy   -0.128 eV per atom

abc: 4.9945 3.6960 12.6479
angles: 83.79 78.63 89.91
Last column: nearest neighbours and their distance in Å.
Fractional coordinates of all 8 atoms:
1 Na 0.6534 0.1154 0.7121  8 Tl 3.33-3.69, 2 Na 3.70
2 Na 0.3466 0.8846 0.2879  8 Tl 3.33-3.69, 2 Na 3.70
3 Na 0.5000 0.5000 0.0000  4 Au 3.10-3.11, 4 Tl 3.32-3.43
4 Tl 0.1066 0.5716 0.8163  2 Au 2.91-2.93, 1 Tl 3.20
5 Tl 0.8934 0.4284 0.1837  2 Au 2.91-2.93, 1 Tl 3.20
6 Tl 0.2201 0.7105 0.5571  5 Tl 3.20-3.50, 2 Na 3.33-3.54
7 Tl 0.7799 0.2895 0.4429  5 Tl 3.20-3.50, 2 Na 3.33-3.54
8 Au 0.0000 0.0000 0.0000  4 Tl 2.91-2.93, 4 Na 3.10-3.11

***

The following is a DFT calculation (PBE) of Al2BiCl8 after structural relaxation.

ρ   2.273 g/cm³
Energy relative to the elements, uncorrected   -1.277 eV/atom

abc: 7.9028 7.5047 7.5047
angles: 64.04 86.87 86.87
Last column: nearest neighbours and their distance in Å.
Fractional coordinates of all 11 atoms:
1 Al 0.6911 0.8013 0.8013  4 Cl 2.11-2.23
2 Al 0.3089 0.1987 0.1987  4 Cl 2.11-2.23
3 Bi 0.0000 0.0000 0.0000  4 Cl 2.78
4 Cl 0.1997 0.3265 0.8978  1 Al 2.23
5 Cl 0.8003 0.1022 0.6735  1 Al 2.23
6 Cl 0.4236 0.8250 0.8250  1 Al 2.12
7 Cl 0.5764 0.1750 0.1750  1 Al 2.12
8 Cl 0.1997 0.8978 0.3265  1 Al 2.23
9 Cl 0.8003 0.6735 0.1022  1 Al 2.23
10 Cl 0.7898 0.6431 0.6431  1 Al 2.11
11 Cl 0.2102 0.3569 0.3569  1 Al 2.11

***

The following is a DFT calculation (PBE) of LaTcPt after structural relaxation.

ρ   11.392 g/cm³
Calculated formation energy   -0.075 eV per atom

abc: 5.8475 5.8475 5.8475
angles: 151.06 139.16 50.82
Last column: nearest neighbours and their distance in Å.
Fractional coordinates of all 3 atoms:
1 La 0.9994 0.9994 0.0000  2 La 2.92, 1 Tc 3.07, 1 Pt 3.09
2 Pt 0.2918 0.2918 0.0000  4 Tc 2.66, 2 Pt 2.92
3 Tc 0.7088 0.7088 0.0000  4 Pt 2.66, 2 Tc 2.92

***

The following is a DFT calculation (PBE) of Tb12NdSc5 after structural relaxation.

ρ   7.016 g/cm³
Calculated formation energy   0.042 eV per atom

abc: 4.9401 7.8257 14.6848
angles: 90.00 89.99 71.60
Last column: nearest neighbours and their distance in Å.
Fractional coordinates of all 18 atoms:
1 Tb 0.0002 0.0000 0.3406  4 Sc 3.40, 8 Tb 3.50-3.58
2 Tb 0.9998 0.0000 0.6594  4 Sc 3.40, 8 Tb 3.50-3.58
3 Tb 0.5000 0.0000 0.8321  2 Nd 3.49, 8 Tb 3.51-3.56, 2 Sc 3.53
4 Tb 0.5000 0.0000 0.1679  2 Nd 3.49, 8 Tb 3.51-3.56, 2 Sc 3.53
5 Tb 0.1680 0.6640 0.8339  3 Sc 3.43-3.47, 8 Tb 3.47-3.58, 1 Nd 3.49
6 Tb 0.1680 0.6640 0.1661  3 Sc 3.43-3.47, 8 Tb 3.47-3.58, 1 Nd 3.49
7 Tb 0.8320 0.3360 0.8339  3 Sc 3.43-3.47, 8 Tb 3.47-3.58, 1 Nd 3.49
8 Tb 0.8320 0.3360 0.1661  3 Sc 3.43-3.47, 8 Tb 3.47-3.58, 1 Nd 3.49
9 Tb 0.3331 0.3338 0.6585  4 Sc 3.39-3.40, 8 Tb 3.49-3.57
10 Tb 0.6670 0.6662 0.6585  4 Sc 3.39-3.40, 8 Tb 3.49-3.57
11 Tb 0.3330 0.3338 0.3415  4 Sc 3.39-3.40, 8 Tb 3.49-3.57
12 Tb 0.6669 0.6662 0.3415  4 Sc 3.39-3.40, 8 Tb 3.49-3.57
13 Nd 0.0000 0.0000 0.0000  8 Tb 3.49, 4 Sc 3.53
14 Sc 0.5000 0.0000 0.5000  8 Tb 3.40, 4 Sc 3.49
15 Sc 0.1664 0.6673 0.5000  8 Tb 3.39-3.40, 4 Sc 3.49-3.50
16 Sc 0.8336 0.3328 0.5000  8 Tb 3.39-3.40, 4 Sc 3.49-3.50
17 Sc 0.6700 0.6600 0.0000  8 Tb 3.43-3.53, 2 Sc 3.43, 2 Nd 3.53
18 Sc 0.3300 0.3400 0.0000  8 Tb 3.43-3.53, 2 Sc 3.43, 2 Nd 3.53

***

The following is a DFT calculation (PBE) of TaNbPd2 after structural relaxation.

ρ   12.135 g/cm³
Calculated formation energy   -0.215 eV per atom

abc: 5.6444 5.6197 5.6197
angles: 77.11 59.85 59.85
Last column: nearest neighbours and their distance in Å.
Fractional coordinates of all 8 atoms:
1 Ta 0.2500 0.2124 0.2876  8 Pd 2.81-2.87, 3 Nb 2.82-2.88
2 Ta 0.7500 0.7876 0.7124  8 Pd 2.81-2.87, 3 Nb 2.82-2.88
3 Nb 0.7500 0.1994 0.3006  8 Pd 2.82-2.88, 3 Ta 2.82-2.88
4 Nb 0.2500 0.8006 0.6994  8 Pd 2.82-2.88, 3 Ta 2.82-2.88
5 Pd 0.2028 0.2972 0.7972  3 Pd 2.73-2.82, 4 Ta 2.81-2.87, 4 Nb 2.82-2.88
6 Pd 0.2972 0.7028 0.2028  3 Pd 2.73-2.82, 4 Ta 2.81-2.87, 4 Nb 2.82-2.88
7 Pd 0.7972 0.7028 0.2028  3 Pd 2.73-2.82, 4 Ta 2.81-2.87, 4 Nb 2.82-2.88
8 Pd 0.7028 0.2972 0.7972  3 Pd 2.73-2.82, 4 Ta 2.81-2.87, 4 Nb 2.82-2.88

***

The following is a DFT calculation (PBE) of Li2CeIr after structural relaxation.

ρ   7.199 g/cm³
Calculated formation energy   -0.270 eV per atom

abc: 3.8653 5.0461 8.8632
angles: 90.00 90.00 112.50
Last column: nearest neighbours and their distance in Å.
Fractional coordinates of all 8 atoms:
1 Li 0.1627 0.3247 0.4539  2 Li 2.66, 3 Ir 2.74-2.79
2 Li 0.8373 0.6753 0.5461  2 Li 2.66, 3 Ir 2.74-2.79
3 Li 0.8373 0.6753 0.9539  2 Li 2.66, 3 Ir 2.74-2.79
4 Li 0.1627 0.3247 0.0461  2 Li 2.66, 3 Ir 2.74-2.79
5 Ce 0.4364 0.8736 0.2500  3 Ir 2.68-2.80
6 Ce 0.5636 0.1264 0.7500  3 Ir 2.68-2.80
7 Ir 0.7372 0.4737 0.2500  3 Ce 2.68-2.80, 6 Li 2.74-2.79
8 Ir 0.2628 0.5263 0.7500  3 Ce 2.68-2.80, 6 Li 2.74-2.79

***

The following is a DFT calculation (PBE) of LaHg3Pb after structural relaxation.

ρ   8.959 g/cm³
Calculated formation energy   0.241 eV per atom

abc: 5.6007 5.6007 5.6007
angles: 90.00 90.00 90.00
Last column: nearest neighbours and their distance in Å.
Fractional coordinates of all 5 atoms:
1 Pb 0.0000 0.0000 0.0000  6 Hg 2.80
2 Hg 0.0000 0.5000 0.0000  2 Pb 2.80
3 Hg 0.0000 0.0000 0.5000  2 Pb 2.80
4 Hg 0.5000 0.0000 0.0000  2 Pb 2.80
5 La 0.5000 0.5000 0.5000  12 Hg 3.96

***

The following is a DFT calculation (PBE) of NiSbCI2 after structural relaxation.

ρ   6.336 g/cm³
Energy relative to the elements, uncorrected   1.499 eV/atom

abc: 5.0331 5.0331 4.6173
angles: 90.00 90.00 90.00
Last column: nearest neighbours and their distance in Å.
Fractional coordinates of all 5 atoms:
1 I 0.0000 0.5000 0.0000  2 C 2.52
2 I 0.5000 0.0000 0.0000  2 C 2.52
3 Sb 0.0000 0.0000 0.5000  2 C 2.31
4 C 0.0000 0.0000 0.0000  2 Sb 2.31, 4 I 2.52
5 Ni 0.5000 0.5000 0.5000  8 I 3.42, 4 Sb 3.56

***

The following is a DFT calculation (PBE) of YPuBi2O8 after structural relaxation.

ρ   7.451 g/cm³
Energy relative to the elements, uncorrected   -2.113 eV/atom

abc: 5.2874 5.2856 7.0096
angles: 89.38 90.61 90.29
Last column: nearest neighbours and their distance in Å.
Fractional coordinates of all 12 atoms:
1 Y 0.0000 0.0000 0.5000  6 O 2.29-2.34
2 Pu 0.0000 0.0000 0.0000  4 O 1.92-2.01
3 Bi 0.5142 0.4858 0.7405  3 O 2.21-2.24
4 Bi 0.4858 0.5142 0.2595  3 O 2.21-2.24
5 O 0.1881 0.8128 0.2424  1 Pu 2.19, 1 Bi 2.24, 1 Y 2.31
6 O 0.7431 0.7416 0.0000  1 Pu 1.92
7 O 0.8286 0.1705 0.2187  1 Pu 2.01
8 O 0.8119 0.1872 0.7576  1 Pu 2.19, 1 Bi 2.24, 1 Y 2.31
9 O 0.2569 0.2584 0.0000  1 Pu 1.92
10 O 0.1714 0.8295 0.7813  1 Pu 2.01
11 O 0.6926 0.6921 0.5000  2 Bi 2.21, 1 Y 2.29
12 O 0.3074 0.3079 0.5000  2 Bi 2.21, 1 Y 2.29

***

The following is a DFT calculation (PBE) of InTcIr2 after structural relaxation.

ρ   15.679 g/cm³
Calculated formation energy   0.111 eV per atom

abc: 4.8459 4.8459 4.9051
angles: 81.69 81.69 33.75
Last column: nearest neighbours and their distance in Å.
Fractional coordinates of all 4 atoms:
1 In 0.2500 0.2500 0.2500  6 Ir 2.78-2.89, 2 In 2.81, 4 Tc 2.83
2 Ir 0.0055 0.0055 0.9837  6 Ir 2.70-2.96, 3 Tc 2.77-2.78, 3 In 2.78-2.89
3 Ir 0.4945 0.4945 0.5163  6 Ir 2.70-2.96, 3 Tc 2.77-2.78, 3 In 2.78-2.89
4 Tc 0.7500 0.7500 0.7500  6 Ir 2.77-2.78, 2 Tc 2.81, 4 In 2.83

***

The following is a DFT calculation (PBE) of Be3CrIr after structural relaxation.

ρ   6.522 g/cm³
Calculated formation energy   0.770 eV per atom

abc: 4.1027 4.1027 4.1027
angles: 90.00 90.00 90.00
Last column: nearest neighbours and their distance in Å.
Fractional coordinates of all 5 atoms:
1 Cr 0.5000 0.5000 0.5000  12 Be 2.90
2 Ir 0.0000 0.0000 0.0000  6 Be 2.05
3 Be 0.0000 0.5000 0.0000  2 Ir 2.05
4 Be 0.0000 0.0000 0.5000  2 Ir 2.05
5 Be 0.5000 0.0000 0.0000  2 Ir 2.05